Entry from Alexandria: Na3Sn2Sb2 after structural relaxation (PBE).

Unit cell a=6.424 b=8.745 c=15.054 alpha=90.00 beta=90.00 gamma=90.00
Positions (direct):
Na (0.109, 0.541, 0.128)
Na (0.891, 0.459, 0.628)
Na (0.891, 0.041, 0.372)
Na (0.109, 0.959, 0.872)
Na (0.891, 0.459, 0.872)
Na (0.109, 0.541, 0.372)
Na (0.109, 0.959, 0.628)
Na (0.891, 0.041, 0.128)
Na (0.334, 0.190, 0.250)
Na (0.666, 0.810, 0.750)
Na (0.666, 0.690, 0.250)
Na (0.334, 0.310, 0.750)
Sn (0.647, 0.392, 0.061)
Sn (0.353, 0.608, 0.561)
Sn (0.353, 0.892, 0.439)
Sn (0.647, 0.108, 0.939)
Sn (0.353, 0.608, 0.939)
Sn (0.647, 0.392, 0.439)
Sn (0.647, 0.108, 0.561)
Sn (0.353, 0.892, 0.061)
Sb (0.233, 0.250, 0.000)
Sb (0.767, 0.750, 0.500)
Sb (0.767, 0.750, 0.000)
Sb (0.233, 0.250, 0.500)
Sb (0.795, 0.331, 0.250)
Sb (0.205, 0.669, 0.750)
Sb (0.205, 0.831, 0.250)
Sb (0.795, 0.169, 0.750)

Values from the calculation:
Energy = -86.75 eV per cell
Symmetry = Pbcm (57)
Crystal system = orthorhombic
N(E_F) = 2.75 states/eV/f.u.